No. 1
VASP calculation (PBE) on a geometry-optimized SrCaSi4 structure.

Results
As for the energy relative to the elements, uncorrected: -0.18 eV/atom. As for the magnetization: 0.00 μB/atom. As for the offset from the most stable computed form: 184.3 meV/atom. For the total energy, the calculation gives -4.409 eV/atom.

Lattice parameters (Å, degrees): 5.622 5.622 5.622 60.00 60.00 60.00
Sites, in units of the cell vectors:
Sr1 0.000 0.000 0.000
Ca1 0.750 0.750 0.750
Si1 0.361 0.361 0.361
Si2 0.361 0.361 0.916
Si3 0.361 0.916 0.361
Si4 0.916 0.361 0.361

***

No. 2
VASP calculation (PBE) on a geometry-optimized NdNiAs2Rh5 structure.

Results
As for the magnetization: 0.10 μB/atom. The calculation puts the formation energy at -82 meV/atom. For the total energy, the calculation gives -6.372 eV/atom.

Lattice parameters (Å, degrees): 4.067 4.067 11.454 90.00 90.00 90.00
Sites, in units of the cell vectors:
Nd1 0.000 0.000 0.000
Ni1 0.500 0.500 0.500
As1 0.500 0.500 0.303
As2 0.500 0.500 0.697
Rh1 0.000 0.500 0.189
Rh2 0.000 0.500 0.811
Rh3 0.500 0.000 0.189
Rh4 0.500 0.000 0.811
Rh5 0.500 0.500 0.000

***

No. 3
VASP calculation (PBE) on a geometry-optimized NaAlPd3 structure.

Results
As for the magnetization: 0.00 μB/atom. The calculation puts the formation energy at 756 meV/atom. As for the offset from the most stable computed form: 863.4 meV/atom. For the total energy, the calculation gives -3.372 eV/atom.

Lattice parameters (Å, degrees): 4.568 4.568 4.568 90.00 90.00 90.00
Sites, in units of the cell vectors:
Na1 0.000 0.000 0.000
Al1 0.500 0.500 0.500
Pd1 0.000 0.000 0.500
Pd2 0.000 0.500 0.000
Pd3 0.500 0.000 0.000

***

No. 4
VASP calculation (PBE) on a geometry-optimized KSr2Be structure.

Results
As for the magnetization: 0.23 μB/atom. The calculation puts the formation energy at 613 meV/atom. For the total energy, the calculation gives -1.433 eV/atom.

Lattice parameters (Å, degrees): 5.772 5.772 4.804 90.00 90.00 90.00
Sites, in units of the cell vectors:
K1 0.000 0.000 0.000
Sr1 0.000 0.500 0.500
Sr2 0.500 0.000 0.500
Be1 0.500 0.500 0.000

***

No. 5
VASP calculation (PBE) on a geometry-optimized CaRhCl structure.

Results
As for the energy relative to the elements, uncorrected: -1.13 eV/atom. As for the magnetization: 0.12 μB/atom. As for the offset from the most stable computed form: 49.3 meV/atom. For the total energy, the calculation gives -4.859 eV/atom.

Lattice parameters (Å, degrees): 3.562 3.562 10.678 90.03 90.03 90.00
Sites, in units of the cell vectors:
Ca1 0.250 0.250 0.230
Ca2 0.750 0.750 0.770
Rh1 0.249 0.251 0.970
Rh2 0.749 0.751 0.030
Cl1 0.250 0.250 0.645
Cl2 0.750 0.750 0.355

***

No. 6
VASP calculation (PBE) on a geometry-optimized ZrSc structure.

Results
As for the magnetization: 0.00 μB/atom. The calculation puts the formation energy at 297 meV/atom. For the total energy, the calculation gives -7.143 eV/atom.

Lattice parameters (Å, degrees): 5.083 5.083 8.793 90.00 90.00 120.00
Sites, in units of the cell vectors:
Zr1 0.333 0.667 0.087
Zr2 0.333 0.667 0.413
Zr3 0.667 0.333 0.587
Zr4 0.667 0.333 0.913
Sc1 0.000 0.000 0.250
Sc2 0.000 0.000 0.750
Sc3 0.333 0.667 0.750
Sc4 0.667 0.333 0.250

***

Question: Among the records above, which one has the highest magnetization?
Answer: KSr2Be

***

Copy entry 4 word for word.
VASP calculation (PBE) on a geometry-optimized KSr2Be structure.

Results
As for the magnetization: 0.23 μB/atom. The calculation puts the formation energy at 613 meV/atom. For the total energy, the calculation gives -1.433 eV/atom.

Lattice parameters (Å, degrees): 5.772 5.772 4.804 90.00 90.00 90.00
Sites, in units of the cell vectors:
K1 0.000 0.000 0.000
Sr1 0.000 0.500 0.500
Sr2 0.500 0.000 0.500
Be1 0.500 0.500 0.000

***

Copy entry 1 word for word.
VASP calculation (PBE) on a geometry-optimized SrCaSi4 structure.

Results
As for the energy relative to the elements, uncorrected: -0.18 eV/atom. As for the magnetization: 0.00 μB/atom. As for the offset from the most stable computed form: 184.3 meV/atom. For the total energy, the calculation gives -4.409 eV/atom.

Lattice parameters (Å, degrees): 5.622 5.622 5.622 60.00 60.00 60.00
Sites, in units of the cell vectors:
Sr1 0.000 0.000 0.000
Ca1 0.750 0.750 0.750
Si1 0.361 0.361 0.361
Si2 0.361 0.361 0.916
Si3 0.361 0.916 0.361
Si4 0.916 0.361 0.361